(1)
DFT (PBE-GGA) results for an optimized crystal structure of SrPr2ThSe4.

Unit cell a=4.2561 b=7.4803 c=7.3699 alpha=109.17 beta=90.00 gamma=90.00
Element x y z (fractional)
Sr 0.0000 0.0000 0.0000
Pr 0.5000 0.0000 0.5000
Pr 0.0000 0.5000 0.5000
Th 0.5000 0.5000 0.0000
Se 0.5000 0.2543 0.2493
Se 0.5000 0.7457 0.7507
Se 0.0000 0.2538 0.7533
Se 0.0000 0.7462 0.2467

Summary:
The calculation puts the final energy at -5.85 eV/atom. The value obtained for the volume is 221.6 Å³ per cell.

(2)
DFT (PBE-GGA) results for an optimized crystal structure of SrPrTm4Se8.

Unit cell a=8.4491 b=8.4491 c=8.5754 alpha=60.49 beta=60.49 gamma=60.00
Element x y z (fractional)
Sr 0.3720 0.3720 0.8840
Pr 0.0019 0.0019 0.9943
Tm 0.6259 0.6259 0.1223
Tm 0.0016 0.4948 0.5020
Tm 0.4948 0.0016 0.5020
Tm 0.0016 0.0016 0.5020
Se 0.2452 0.7884 0.7213
Se 0.7884 0.2452 0.7213
Se 0.2452 0.2452 0.7213
Se 0.2348 0.2348 0.2956
Se 0.7490 0.2326 0.2693
Se 0.2326 0.7490 0.2693
Se 0.7490 0.7490 0.2693
Se 0.7580 0.7580 0.7261

Summary:
The calculation puts the final energy at -5.50 eV/atom. The value obtained for the volume is 436.0 Å³ per cell.

(3)
DFT (PBE-GGA) results for an optimized crystal structure of Sr4PrY3Se8.

Unit cell a=8.4713 b=8.6179 c=8.4717 alpha=119.44 beta=120.00 gamma=90.00
Element x y z (fractional)
Sr 0.5000 0.0000 0.0000
Sr 0.5000 0.0000 0.5000
Sr 0.0000 0.0000 0.0000
Sr 0.0000 0.0000 0.5000
Pr 0.0000 0.5000 0.0000
Y 0.5000 0.5000 0.0000
Y 0.5000 0.5000 0.5000
Y 0.0000 0.5000 0.5000
Se 0.2486 0.7355 0.9867
Se 0.2489 0.7348 0.4978
Se 0.2568 0.2694 0.5136
Se 0.7380 0.7355 0.9867
Se 0.2620 0.2645 0.0133
Se 0.7432 0.7306 0.4864
Se 0.7511 0.2652 0.5022
Se 0.7514 0.2645 0.0133

Summary:
The calculation puts the final energy at -5.57 eV/atom. The value obtained for the volume is 441.0 Å³ per cell.

(4)
DFT (PBE-GGA) results for an optimized crystal structure of SrPr3Y2Se6.

Unit cell a=7.2743 b=7.2743 c=7.4050 alpha=99.40 beta=99.40 gamma=120.05
Element x y z (fractional)
Sr 0.0000 0.0000 0.0000
Pr 0.1599 0.8401 0.5000
Pr 0.8401 0.1599 0.5000
Pr 0.5000 0.5000 0.5000
Y 0.3333 0.6667 0.0000
Y 0.6667 0.3333 0.0000
Se 0.9197 0.5754 0.7578
Se 0.7345 0.7345 0.2340
Se 0.0803 0.4246 0.2422
Se 0.5754 0.9197 0.7578
Se 0.2655 0.2655 0.7660
Se 0.4246 0.0803 0.2422

Summary:
The calculation puts the final energy at -5.99 eV/atom. The value obtained for the volume is 320.5 Å³ per cell.

(5)
DFT (PBE-GGA) results for an optimized crystal structure of Sr3Pr2YSe6.

Unit cell a=7.4106 b=7.4106 c=7.5656 alpha=99.43 beta=99.43 gamma=119.93
Element x y z (fractional)
Sr 0.1692 0.8308 0.5000
Sr 0.8308 0.1692 0.5000
Sr 0.5000 0.5000 0.5000
Pr 0.3342 0.6658 0.0000
Pr 0.6658 0.3342 0.0000
Y 0.0000 0.0000 0.0000
Se 0.9208 0.5964 0.7613
Se 0.7565 0.7565 0.2405
Se 0.0792 0.4036 0.2387
Se 0.5964 0.9208 0.7613
Se 0.2435 0.2435 0.7595
Se 0.4036 0.0792 0.2387

Summary:
The calculation puts the final energy at -5.41 eV/atom. The value obtained for the volume is 340.2 Å³ per cell.

(6)
DFT (PBE-GGA) results for an optimized crystal structure of SrPr4Y3Se8.

Unit cell a=8.3802 b=8.4825 c=8.3803 alpha=119.60 beta=120.00 gamma=90.00
Element x y z (fractional)
Sr 0.0000 0.5000 0.0000
Pr 0.5000 0.0000 0.0000
Pr 0.5000 0.0000 0.5000
Pr 0.0000 0.0000 0.0000
Pr 0.0000 0.0000 0.5000
Y 0.5000 0.5000 0.0000
Y 0.5000 0.5000 0.5000
Y 0.0000 0.5000 0.5000
Se 0.2502 0.7391 0.9888
Se 0.2504 0.7389 0.5009
Se 0.2557 0.2665 0.5114
Se 0.7385 0.7391 0.9888
Se 0.2615 0.2609 0.0112
Se 0.7443 0.7335 0.4886
Se 0.7496 0.2611 0.4991
Se 0.7498 0.2609 0.0112

Summary:
The calculation puts the final energy at -6.08 eV/atom. The value obtained for the volume is 423.8 Å³ per cell.